No. 1
Lu2CuAs: relaxed, GGA-PBE.

Formation enthalpy at 0 K   -0.68 eV/atom

Unit cell a=6.999 b=6.999 c=6.999 alpha=33.06 beta=33.06 gamma=33.06
Fractional coordinates of all 4 atoms:
Lu  0.249  0.249  0.249
Lu  0.751  0.751  0.751
Cu  0.000  0.000  0.000
As  0.500  0.500  0.500

---

No. 2
MgCuAs: relaxed, GGA-PBE.

Formation enthalpy at 0 K   -0.23 eV/atom

Unit cell a=5.195 b=4.596 c=4.596 alpha=92.82 beta=90.00 gamma=90.00
Fractional coordinates of all 6 atoms:
Mg  0.250  0.146  0.854
Mg  0.750  0.854  0.146
Cu  0.000  0.617  0.617
Cu  0.500  0.617  0.617
As  0.250  0.660  0.151
As  0.750  0.151  0.660

---

No. 3
MgCu2As: relaxed, GGA-PBE.

Formation enthalpy at 0 K   -0.01 eV/atom

Unit cell a=3.254 b=3.254 c=5.904 alpha=90.00 beta=90.00 gamma=90.00
Fractional coordinates of all 4 atoms:
Mg  0.000  0.000  0.000
Cu  0.000  0.000  0.532
Cu  0.500  0.500  0.733
As  0.500  0.500  0.306

---

No. 4
MgCuAs: relaxed, GGA-PBE.

Formation enthalpy at 0 K   -0.29 eV/atom

Unit cell a=4.154 b=4.157 c=7.245 alpha=89.20 beta=89.55 gamma=60.10
Fractional coordinates of all 6 atoms:
Mg  0.000  0.000  0.000
Mg  0.333  0.323  0.337
Cu  0.666  0.652  0.527
Cu  0.999  0.982  0.634
As  0.332  0.315  0.718
As  0.666  0.661  0.178

---

No. 5
MgCuAs2: relaxed, GGA-PBE.

Formation enthalpy at 0 K   0.00 eV/atom

Unit cell a=3.776 b=4.047 c=4.542 alpha=90.00 beta=90.00 gamma=90.00
Fractional coordinates of all 4 atoms:
Mg  0.000  0.000  0.000
Cu  0.000  0.500  0.500
As  0.500  0.000  0.500
As  0.500  0.500  0.000

---

No. 6
MgCuAs2: relaxed, GGA-PBE.

Formation enthalpy at 0 K   0.00 eV/atom

Unit cell a=3.533 b=3.533 c=5.678 alpha=90.00 beta=90.00 gamma=90.00
Fractional coordinates of all 4 atoms:
Mg  0.000  0.000  0.000
Cu  0.000  0.000  0.500
As  0.500  0.500  0.278
As  0.500  0.500  0.722